(1)
A geometry-optimized Ba4Bi2P structure, computed with GGA-PBE.

```
Ba4Bi2P
1.0
7.604 0.000 -0.453
0.000 7.632 0.000
-3.302 0.000 10.580
Bi Ba P
4 8 2
Cartesian
3.636 5.724 5.449
0.666 1.908 4.679
-1.054 1.908 9.773
5.356 5.724 0.355
2.764 3.878 2.358
-2.370 5.724 9.186
2.764 7.570 2.358
1.538 3.754 7.769
-0.626 5.724 4.454
1.538 0.062 7.769
4.928 1.908 5.674
6.673 1.908 0.942
0.427 5.724 1.620
3.875 1.908 8.508
```

Values from the calculation:
DOS(E_F)   0.442 states/eV per atom
DFT total energy   -26.36 eV/f.u.
ΔH_f (0 K)   -5.49 eV/f.u.
SG   P2_1/m (11)
M_tot   0.05 μB per atom

(2)
A geometry-optimized ScS structure, computed with GGA-PBE.

```
ScS
1.0
3.520 0.000 0.000
0.000 3.449 0.000
0.000 0.000 12.665
S Sc
4 4
Cartesian
0.000 1.724 5.829
1.760 0.000 9.207
0.000 0.000 12.161
1.760 1.724 2.874
0.000 1.724 8.332
0.000 0.000 2.000
1.760 1.724 11.258
1.760 0.000 4.925
```

Values from the calculation:
DOS(E_F)   0.683 states/eV per atom
DFT total energy   -13.82 eV/f.u.
Uncorrected formation energy   -38.801 kcal/mol of atoms
SG   Amm2 (38)
M_tot   0.11 μB per atom

(3)
A geometry-optimized AlAuOF2 structure, computed with GGA-PBE.

```
AlAuOF2
1.0
4.578 0.000 0.000
0.000 4.578 0.000
0.000 0.000 3.941
Au F O Al
1 2 1 1
Cartesian
0.000 0.000 0.000
2.289 0.000 0.000
0.000 2.289 0.000
0.000 0.000 1.971
2.289 2.289 1.971
```

Values from the calculation:
DOS(E_F)   0.891 states/eV per atom
DFT total energy   -18.02 eV/f.u.
Uncorrected formation energy   -10.584 kcal/mol of atoms
SG   P4/mmm (123)
M_tot   0.00 μB per atom

(4)
A geometry-optimized La3Y3Er8 structure, computed with GGA-PBE.

```
La3Y3Er8
1.0
-1.817 -3.475 -4.085
6.799 -0.002 -6.947
0.668 -9.052 3.478
Er La Y
8 3 3
Cartesian
1.648 -4.571 -0.769
2.754 -9.802 -4.660
2.675 -3.370 -6.172
2.897 -2.727 -2.893
-0.025 -7.356 -1.581
2.975 -9.159 -1.381
4.003 -7.958 -6.784
5.675 -5.173 -5.973
5.653 -1.693 -4.999
-0.908 -1.737 -2.043
1.814 -7.361 1.530
0.063 -4.604 -3.960
2.825 -6.264 -3.777
5.588 -7.924 -3.593
```

Values from the calculation:
DOS(E_F)   1.734 states/eV per atom
DFT total energy   -69.17 eV/f.u.
ΔH_f (0 K)   1.51 eV/f.u.
SG   Immm (71)
M_tot   0.00 μB per atom

(5)
A geometry-optimized PaAsHO5 structure, computed with GGA-PBE.

```
PaAsHO5
1.0
-0.161 4.167 3.549
-1.771 -3.386 3.922
6.149 -1.362 -1.050
H O Pa As
2 10 2 2
Cartesian
0.000 0.000 0.000
3.074 -0.681 -0.525
1.828 0.625 4.130
-0.128 2.430 4.802
-0.211 -3.623 3.654
2.065 -2.384 4.481
4.573 -1.604 3.681
4.429 3.041 2.767
2.389 -1.207 2.291
-0.355 1.022 2.740
4.346 -3.012 1.620
2.152 1.803 1.940
0.315 -1.152 3.532
3.902 0.570 2.889
3.215 -2.654 3.048
1.003 2.073 3.373
```

Values from the calculation:
DOS(E_F)   0.388 states/eV per atom
DFT total energy   -55.52 eV/f.u.
SG   C2/c (15)
M_tot   0.00 μB per atom

(6)
A geometry-optimized Ba5C structure, computed with GGA-PBE.

```
Ba5C
1.0
6.838 9.702 -8.775
-7.271 -11.653 5.407
-4.469 2.408 -0.820
Ba C
5 1
Cartesian
5.784 8.105 -7.715
-2.234 1.204 -0.410
0.139 4.149 -4.697
-6.216 -10.056 4.347
-5.041 -3.692 0.509
-0.216 -0.975 -1.684
```

Values from the calculation:
DOS(E_F)   1.431 states/eV per atom
DFT total energy   -15.71 eV/f.u.
ΔH_f (0 K)   3.13 eV/f.u.
SG   Cmmm (65)
M_tot   0.06 μB per atom

(7)
A geometry-optimized HgRu3 structure, computed with GGA-PBE.

```
HgRu3
1.0
4.853 -0.001 0.000
-1.673 4.555 0.000
0.000 0.000 2.812
Ru Hg
3 1
Cartesian
-0.837 2.278 1.406
1.590 2.277 0.000
2.426 0.000 1.406
0.000 0.000 0.000
```

Values from the calculation:
DOS(E_F)   1.469 states/eV per atom
DFT total energy   -25.68 eV/f.u.
ΔH_f (0 K)   2.45 eV/f.u.
SG   Cmmm (65)
M_tot   0.45 μB per atom

(8)
A geometry-optimized ZnCuOs2 structure, computed with GGA-PBE.

```
ZnCuOs2
1.0
-4.215 -0.227 -0.558
-0.134 -3.491 2.435
-0.410 1.694 2.405
Zn Cu Os
1 1 2
Cartesian
-2.312 0.733 0.924
-0.272 -0.898 2.420
0.000 0.000 0.000
-2.175 -1.859 0.939
```

Values from the calculation:
DOS(E_F)   1.161 states/eV per atom
DFT total energy   -25.61 eV/f.u.
ΔH_f (0 K)   2.22 eV/f.u.
SG   P4/mmm (123)
M_tot   0.00 μB per atom

(9)
A geometry-optimized PrDyGeAu structure, computed with GGA-PBE.

```
PrDyGeAu
1.0
-0.288 5.174 0.215
-4.614 2.324 0.454
-1.298 2.343 4.441
Dy Ge Pr Au
1 1 1 1
Cartesian
-3.100 4.920 2.555
-4.650 7.380 3.833
0.000 0.000 0.000
-1.550 2.460 1.278
```

Values from the calculation:
DOS(E_F)   0.926 states/eV per atom
DFT total energy   -20.14 eV/f.u.
ΔH_f (0 K)   -2.87 eV/f.u.
SG   F-43m (216)
M_tot   0.18 μB per atom

(10)
A geometry-optimized Li2Ga2Cu structure, computed with GGA-PBE.

```
Li2Ga2Cu
1.0
4.265 0.000 0.000
2.133 3.510 1.362
2.133 2.273 10.551
Li Ga Cu
4 4 2
Cartesian
4.265 3.514 4.615
4.265 2.269 7.299
6.398 4.768 11.072
2.133 1.015 0.842
2.133 2.988 2.691
6.398 2.795 9.222
2.133 1.866 5.183
6.398 3.917 6.730
4.265 1.569 2.850
4.265 4.214 9.064
```

Values from the calculation:
DOS(E_F)   0.275 states/eV per atom
DFT total energy   -15.18 eV/f.u.
ΔH_f (0 K)   -1.20 eV/f.u.
SG   C2/m (12)
M_tot   0.00 μB per atom

(11)
A geometry-optimized V2BAsI structure, computed with GGA-PBE.

```
V2BAsI
1.0
-0.335 -4.290 2.724
3.504 -1.583 -2.062
3.016 2.029 3.567
I V As B
1 2 1 1
Cartesian
0.000 0.000 0.000
-0.168 -2.145 1.362
1.508 1.015 1.783
3.093 -1.922 2.114
1.752 -0.792 -1.031
```

Values from the calculation:
DOS(E_F)   1.455 states/eV per atom
DFT total energy   -21.96 eV/f.u.
Uncorrected formation energy   42.231 kcal/mol of atoms
SG   P4/mmm (123)
M_tot   1.18 μB per atom

(12)
A geometry-optimized NpTcBi2 structure, computed with GGA-PBE.

```
NpTcBi2
1.0
-2.666 -1.073 -1.464
-1.347 -2.777 0.936
-7.574 4.211 7.156
Tc Np Bi
1 1 2
Cartesian
0.000 0.000 0.000
-5.794 0.180 3.314
-5.553 -2.494 1.282
-6.034 2.854 5.346
```

Values from the calculation:
DOS(E_F)   1.680 states/eV per atom
DFT total energy   -27.85 eV/f.u.
ΔH_f (0 K)   3.22 eV/f.u.
SG   R-3m (166)
M_tot   0.62 μB per atom

> Which of these has the highest M_tot?

V2BAsI